The following is a DFT calculation (PBE) of a relaxed VAgP2Cl crystal.

Values from the calculation:
As for the raw formation energy: 1.270 eV per atom. The calculation puts the total magnetization at 0.39 Bohr magnetons per cell. For the total DFT energy (no corrections), the calculation gives -18.3 eV per formula unit. Its energy relative to the lowest polymorph listed for this composition is 1083.2 meV/atom.

Lattice parameters (Å, degrees): 4.752 4.752 4.919 90.00 90.00 90.00
Space group P4/mmm (No. 123)
One atom of each set of equivalent atoms:
V 0.000 0.000 0.000
Ag 0.500 0.500 0.500
P 0.000 0.500 0.500
Cl 0.500 0.500 0.000